The following is a GGA-PBE calculation of a relaxed structure of Mg4CdAu7, from Alexandria.

Unit cell a=5.9805 b=5.9805 c=10.1272 alpha=117.16 beta=117.16 gamma=51.11
Last column: nearest neighbours and their distance in Å.
Fractional positions:
Mg (0.0943, 0.0943, 0.2770)  8 Au 2.78-3.00
Mg (0.2680, 0.2680, 0.8458)  5 Au 2.68-2.85
Mg (0.7320, 0.7320, 0.1542)  5 Au 2.68-2.85
Mg (0.9057, 0.9057, 0.7230)  8 Au 2.78-3.00
Cd (0.5000, 0.5000, 0.5000)  4 Au 2.58-2.89
Au (0.0000, 0.0000, 0.5000)  2 Cd 2.58, 2 Au 2.74
Au (0.1361, 0.1361, 0.0234)  2 Au 2.73-2.75, 5 Mg 2.79-2.85
Au (0.2864, 0.2864, 0.5913)  4 Mg 2.68-2.89, 2 Au 2.74-2.77, 1 Cd 2.89
Au (0.4314, 0.4314, 0.1705)  2 Au 2.75-2.77, 3 Mg 2.84-3.00, 1 Cd 3.03
Au (0.5686, 0.5686, 0.8295)  2 Au 2.75-2.77, 3 Mg 2.84-3.00, 1 Cd 3.03
Au (0.7136, 0.7136, 0.4087)  4 Mg 2.68-2.89, 2 Au 2.74-2.77, 1 Cd 2.89
Au (0.8639, 0.8639, 0.9766)  2 Au 2.73-2.75, 5 Mg 2.79-2.85

Values from the calculation:
E_form   -0.3549 eV per atom
Total moment   0.00 Bohr magnetons per cell
Space-group type   C2/m (12)